(1)
Computed, not measured: an optimized crystal structure of Mg3Sn at the PBE level of DFT.

Summary:
The value obtained for the total energy is -0.1661 Ry per atom.

Geometry as POSCAR:
```
Mg3Sn
1.0
-1.7059 5.1168 2.6837
1.7059 -5.1168 2.6837
1.7059 5.1168 -2.6837
Mg Sn
3 1
direct
0.0000 0.0000 0.0000
0.1023 0.3507 0.7517
0.5990 0.3507 0.2483
0.5056 0.0056 0.5000
```

---

(2)
Computed, not measured: an optimized crystal structure of SrPrBi2 at the PBE level of DFT.

Summary:
The value obtained for the total energy is -0.3204 Ry per atom. The value obtained for the excess energy over the best structure of this formula in the dataset is 0.000 eV/atom.

Geometry as POSCAR:
```
SrPrBi2
1.0
4.0135 -2.3004 0.0000
4.0135 2.3004 0.0000
-2.6348 0.0000 8.1591
Sr Pr Bi
1 1 2
direct
0.0000 0.0000 0.0000
0.5000 0.5000 0.5000
0.2452 0.2452 0.7359
0.7548 0.7548 0.2641
```

---

(3)
Computed, not measured: an optimized crystal structure of PuGaAu4 at the PBE level of DFT.

Summary:
The value obtained for the total energy is -0.3890 Ry per atom. The value obtained for the excess energy over the best structure of this formula in the dataset is 0.074 eV/atom.

Geometry as POSCAR:
```
PuGaAu4
1.0
0.0000 3.9669 3.9669
3.9669 0.0000 3.9669
3.9669 3.9669 0.0000
Pu Ga Au
1 1 4
direct
0.0000 0.0000 0.0000
0.2500 0.2500 0.2500
0.1257 0.6248 0.6248
0.6248 0.1257 0.6248
0.6248 0.6248 0.1257
0.6248 0.6248 0.6248
```

---

(4)
Computed, not measured: an optimized crystal structure of MgNiSe at the PBE level of DFT.

Summary:
The value obtained for the total energy is -0.3001 Ry per atom. The uncorrected formation energy comes out at -0.464 eV per atom.

Geometry as POSCAR:
```
MgNiSe
1.0
3.9403 0.0000 0.0000
0.0030 5.4722 0.0000
0.0073 2.6012 4.8360
Mg Ni Se
2 2 2
direct
0.0000 0.0000 0.0000
0.5000 0.2695 0.2654
0.9998 0.5312 0.9027
0.5003 0.3605 0.7379
0.0004 0.5031 0.4413
0.5002 0.8262 0.7632
```

---

(5)
Computed, not measured: an optimized crystal structure of PmZrCo at the PBE level of DFT.

Summary:
The value obtained for the total energy is -0.5008 Ry per atom.

Geometry as POSCAR:
```
PmZrCo
1.0
-1.6613 1.6613 5.9785
1.6613 -1.6613 5.9785
1.6613 1.6613 -5.9785
Pm Zr Co
1 1 1
direct
0.0000 0.0000 0.0000
0.2706 0.2706 0.0000
0.6746 0.6746 0.0000
```

---

(6)
Computed, not measured: an optimized crystal structure of V5Fe2CoRu2 at the PBE level of DFT.

Summary:
The value obtained for the total energy is -0.6423 Ry per atom.

Geometry as POSCAR:
```
V5Fe2CoRu2
1.0
9.3772 0.0000 0.0000
0.0000 9.3772 0.0000
0.0000 0.0000 2.9487
V Fe Co Ru
10 4 2 4
direct
0.0000 0.5000 0.0000
0.0663 0.1952 0.0000
0.1952 0.9337 0.0000
0.3048 0.4337 0.0000
0.4337 0.6952 0.0000
0.5000 0.0000 0.0000
0.5663 0.3048 0.0000
0.6952 0.5663 0.0000
0.8048 0.0663 0.0000
0.9337 0.8048 0.0000
0.1328 0.3672 0.5000
0.3672 0.8672 0.5000
0.6328 0.1328 0.5000
0.8672 0.6328 0.5000
0.0000 0.0000 0.5000
0.5000 0.5000 0.5000
0.1669 0.6669 0.5000
0.3331 0.1669 0.5000
0.6669 0.8331 0.5000
0.8331 0.3331 0.5000
```

---

(7)
Computed, not measured: an optimized crystal structure of Ac6Si3O2 at the PBE level of DFT.

Summary:
The value obtained for the total energy is -0.4321 Ry per atom. The uncorrected formation energy comes out at -1.258 eV per atom.

Geometry as POSCAR:
```
Ac6Si3O2
1.0
-2.5153 2.5153 12.8349
2.5153 -2.5153 12.8349
2.5153 2.5153 -12.8349
Ac Si O
6 3 2
direct
0.0799 0.5799 0.5000
0.2016 0.2016 0.0000
0.4201 0.9201 0.5000
0.5799 0.0799 0.5000
0.7984 0.7984 0.0000
0.9201 0.4201 0.5000
0.3276 0.3276 0.0000
0.5000 0.5000 0.0000
0.6724 0.6724 0.0000
0.1036 0.1036 0.0000
0.8964 0.8964 0.0000
```

---

(8)
Computed, not measured: an optimized crystal structure of CaOsPb2O8 at the PBE level of DFT.

Summary:
The value obtained for the total energy is -0.4603 Ry per atom. The uncorrected formation energy comes out at -1.236 eV per atom.

Geometry as POSCAR:
```
CaOsPb2O8
1.0
5.0466 0.0000 0.0000
0.0000 6.8109 0.0000
-0.0309 0.0000 5.0885
Ca Os Pb O
1 1 2 8
direct
0.0000 0.0000 0.0000
0.0000 0.5000 0.0000
0.5000 0.2494 0.5000
0.5000 0.7506 0.5000
0.1918 0.2962 0.1708
0.1918 0.7038 0.1708
0.2547 0.5000 0.7208
0.3013 0.0000 0.6793
0.6987 0.0000 0.3207
0.7453 0.5000 0.2792
0.8082 0.2962 0.8292
0.8082 0.7038 0.8292
```

---

(9)
Computed, not measured: an optimized crystal structure of Ce3Ge5Pt6 at the PBE level of DFT.

Summary:
The value obtained for the total energy is -0.4701 Ry per atom.

Geometry as POSCAR:
```
Ce3Ge5Pt6
1.0
4.2457 0.0000 0.0000
0.0000 13.2035 0.0000
0.0000 0.0000 9.5154
Ce Ge Pt
6 10 12
direct
0.2500 0.0765 0.2452
0.2500 0.4235 0.2452
0.2500 0.7500 0.2527
0.7500 0.2500 0.7473
0.7500 0.5765 0.7548
0.7500 0.9235 0.7548
0.2500 0.0740 0.8704
0.2500 0.4260 0.8704
0.2500 0.6317 0.5351
0.2500 0.7500 0.8102
0.2500 0.8683 0.5351
0.7500 0.1317 0.4649
0.7500 0.2500 0.1898
0.7500 0.3683 0.4649
0.7500 0.5740 0.1296
0.7500 0.9260 0.1296
0.2500 0.0574 0.6053
0.2500 0.2500 0.0045
0.2500 0.2500 0.4929
0.2500 0.4426 0.6053
0.2500 0.6061 0.9988
0.2500 0.8939 0.9988
0.7500 0.1061 0.0012
0.7500 0.3939 0.0012
0.7500 0.5574 0.3947
0.7500 0.7500 0.5071
0.7500 0.7500 0.9955
0.7500 0.9426 0.3947
```

---

(10)
Computed, not measured: an optimized crystal structure of Na2CaGe2 at the PBE level of DFT.

Summary:
The value obtained for the total energy is -0.2231 Ry per atom. The value obtained for the excess energy over the best structure of this formula in the dataset is 0.000 eV/atom.

Geometry as POSCAR:
```
Na2CaGe2
1.0
-2.1944 2.1944 6.6062
2.1944 -2.1944 6.6062
2.1944 2.1944 -6.6062
Na Ca Ge
2 1 2
direct
0.2500 0.7500 0.5000
0.7500 0.2500 0.5000
0.0000 0.0000 0.0000
0.4101 0.4101 0.0000
0.5899 0.5899 0.0000
```

---

(11)
Computed, not measured: an optimized crystal structure of Cr2GaCo2 at the PBE level of DFT.

Summary:
The value obtained for the total energy is -0.5120 Ry per atom.

Geometry as POSCAR:
```
Cr2GaCo2
1.0
-1.7428 1.7428 5.2570
1.7428 -1.7428 5.2570
1.7428 1.7428 -5.2570
Cr Ga Co
2 1 2
direct
0.2500 0.7500 0.5000
0.7500 0.2500 0.5000
0.0000 0.0000 0.0000
0.3972 0.3972 0.0000
0.6028 0.6028 0.0000
```

---

(12)
Computed, not measured: an optimized crystal structure of Tm3RhSe2 at the PBE level of DFT.

Summary:
The value obtained for the total energy is -0.4406 Ry per atom. The uncorrected formation energy comes out at -1.372 eV per atom.

Geometry as POSCAR:
```
Tm3RhSe2
1.0
-2.0027 2.0027 8.7105
2.0027 -2.0027 8.7105
2.0027 2.0027 -8.7105
Tm Rh Se
3 1 2
direct
0.0000 0.0000 0.0000
0.3476 0.3476 0.0000
0.6524 0.6524 0.0000
0.5000 0.5000 0.0000
0.1774 0.1774 0.0000
0.8226 0.8226 0.0000
```

---

(13)
Computed, not measured: an optimized crystal structure of Y2Er at the PBE level of DFT.

Summary:
The value obtained for the total energy is -0.4282 Ry per atom. The value obtained for the excess energy over the best structure of this formula in the dataset is 0.000 eV/atom.

Geometry as POSCAR:
```
Y2Er
1.0
1.7931 1.0353 8.5400
-1.7931 1.0353 8.5400
0.0000 -2.0705 8.5400
Y Er
2 1
direct
0.2224 0.2224 0.2224
0.7776 0.7776 0.7776
0.0000 0.0000 0.0000
```

---

(14)
Computed, not measured: an optimized crystal structure of TaFeSiRh at the PBE level of DFT.

Summary:
The value obtained for the total energy is -0.6366 Ry per atom. The uncorrected formation energy comes out at -0.389 eV per atom.

Geometry as POSCAR:
```
TaFeSiRh
1.0
0.0000 3.0304 3.0304
3.0304 0.0000 3.0304
3.0304 3.0304 0.0000
Ta Fe Si Rh
1 1 1 1
direct
0.0000 0.0000 0.0000
0.2500 0.2500 0.2500
0.5000 0.5000 0.5000
0.7500 0.7500 0.7500
```

---

(15)
Computed, not measured: an optimized crystal structure of Nd6Sm2Er3 at the PBE level of DFT.

Summary:
The value obtained for the total energy is -0.3445 Ry per atom. The value obtained for the excess energy over the best structure of this formula in the dataset is 0.000 eV/atom.

Geometry as POSCAR:
```
Nd6Sm2Er3
1.0
6.2720 0.0000 0.0000
-2.0754 7.8101 0.0000
-1.0390 -2.7937 7.5502
Nd Sm Er
6 2 3
direct
0.0465 0.1825 0.4097
0.1364 0.5458 0.2311
0.3198 0.2725 0.8647
0.6802 0.7275 0.1353
0.8636 0.4542 0.7689
0.9535 0.8175 0.5903
0.2291 0.9104 0.0476
0.7709 0.0896 0.9524
0.4099 0.6375 0.6809
0.5000 0.0000 0.5000
0.5901 0.3625 0.3191
```

---

(16)
Computed, not measured: an optimized crystal structure of Rh3IN at the PBE level of DFT.

Summary:
The value obtained for the total energy is -0.4260 Ry per atom. The value obtained for the excess energy over the best structure of this formula in the dataset is 0.000 eV/atom. The uncorrected formation energy comes out at 0.590 eV per atom.

Geometry as POSCAR:
```
Rh3IN
1.0
4.2298 0.0000 0.0000
0.0000 4.2298 0.0000
0.0000 0.0000 4.2298
Rh I N
3 1 1
direct
0.0000 0.0000 0.5000
0.0000 0.5000 0.0000
0.5000 0.0000 0.0000
0.5000 0.5000 0.5000
0.0000 0.0000 0.0000
```

---

(17)
Computed, not measured: an optimized crystal structure of InSbCl at the PBE level of DFT.

Summary:
The value obtained for the total energy is -0.2258 Ry per atom. The value obtained for the excess energy over the best structure of this formula in the dataset is 0.247 eV/atom. The uncorrected formation energy comes out at -0.170 eV per atom.

Geometry as POSCAR:
```
InSbCl
1.0
5.1178 0.0000 0.0000
-2.5589 4.4322 0.0000
0.0000 0.0000 3.5086
In Sb Cl
1 1 1
direct
0.0000 0.0000 0.0000
0.3333 0.6667 0.0044
0.6667 0.3333 0.5028
```

---

(18)
Computed, not measured: an optimized crystal structure of TmPa4As5 at the PBE level of DFT.

Summary:
The value obtained for the total energy is -0.5665 Ry per atom.

Geometry as POSCAR:
```
TmPa4As5
1.0
-4.5671 4.5671 2.8892
4.5671 -4.5671 2.8892
4.5671 4.5671 -2.8892
Tm Pa As
1 4 5
direct
0.0000 0.0000 0.0000
0.1999 0.5998 0.7997
0.4002 0.1999 0.6002
0.5998 0.8001 0.3998
0.8001 0.4002 0.2003
0.0996 0.2971 0.3967
0.2971 0.9004 0.1975
0.5000 0.5000 0.0000
0.7029 0.0996 0.8025
0.9004 0.7029 0.6033
```

---

(19)
Computed, not measured: an optimized crystal structure of Mg2Sc5InCu2 at the PBE level of DFT.

Summary:
The value obtained for the total energy is -0.3489 Ry per atom.

Geometry as POSCAR:
```
Mg2Sc5InCu2
1.0
11.3292 0.0000 0.0000
0.0000 11.3292 0.0000
0.0000 0.0000 3.4331
Mg Sc In Cu
4 10 2 4
direct
0.1742 0.3258 0.0000
0.3258 0.8258 0.0000
0.6742 0.1742 0.0000
0.8258 0.6742 0.0000
0.0000 0.5000 0.5000
0.0699 0.7922 0.5000
0.2078 0.0699 0.5000
0.2922 0.5699 0.5000
0.4301 0.2922 0.5000
0.5000 0.0000 0.5000
0.5699 0.7078 0.5000
0.7078 0.4301 0.5000
0.7922 0.9301 0.5000
0.9301 0.2078 0.5000
0.0000 0.0000 0.0000
0.5000 0.5000 0.0000
0.1265 0.6265 0.0000
0.3735 0.1265 0.0000
0.6265 0.8735 0.0000
0.8735 0.3735 0.0000
```

---

(20)
Computed, not measured: an optimized crystal structure of Dy3Ho4ErSe8 at the PBE level of DFT.

Summary:
The value obtained for the total energy is -0.4232 Ry per atom. The uncorrected formation energy comes out at -1.723 eV per atom.

Geometry as POSCAR:
```
Dy3Ho4ErSe8
1.0
4.0601 2.3441 6.6337
-4.0601 2.3441 6.6337
0.0000 -4.6882 6.6337
Dy Ho Er Se
3 4 1 8
direct
0.0000 0.5000 0.5000
0.5000 0.0000 0.5000
0.5000 0.5000 0.0000
0.0000 0.0000 0.5000
0.0000 0.5000 0.0000
0.5000 0.0000 0.0000
0.5000 0.5000 0.5000
0.0000 0.0000 0.0000
0.2479 0.7508 0.7508
0.2493 0.2493 0.2493
0.2492 0.2492 0.7521
0.2492 0.7521 0.2492
0.7508 0.2479 0.7508
0.7508 0.7508 0.2479
0.7507 0.7507 0.7507
0.7521 0.2492 0.2492
```

---

(21)
Computed, not measured: an optimized crystal structure of HgAu2I2 at the PBE level of DFT.

Summary:
The value obtained for the total energy is -0.1289 Ry per atom. The value obtained for the excess energy over the best structure of this formula in the dataset is 0.142 eV/atom. The uncorrected formation energy comes out at 0.237 eV per atom.

Geometry as POSCAR:
```
HgAu2I2
1.0
7.9343 0.0000 0.0000
0.0000 7.9343 0.0000
0.0000 0.0000 4.2916
Hg Au I
2 4 4
direct
0.0000 0.0000 0.0000
0.5000 0.5000 0.0000
0.1244 0.3756 0.0000
0.3756 0.8756 0.0000
0.6244 0.1244 0.0000
0.8756 0.6244 0.0000
0.1897 0.6897 0.5000
0.3103 0.1897 0.5000
0.6897 0.8103 0.5000
0.8103 0.3103 0.5000
```

---

(22)
Computed, not measured: an optimized crystal structure of Sr3LaGe at the PBE level of DFT.

Summary:
The value obtained for the total energy is -0.1431 Ry per atom.

Geometry as POSCAR:
```
Sr3LaGe
1.0
6.0996 0.0000 0.0000
0.0000 6.0996 0.0000
0.0000 0.0000 6.0996
Sr La Ge
3 1 1
direct
0.0000 0.0000 0.5000
0.0000 0.5000 0.0000
0.5000 0.0000 0.0000
0.0000 0.0000 0.0000
0.5000 0.5000 0.5000
```

---

(23)
Computed, not measured: an optimized crystal structure of RbBa8Au4 at the PBE level of DFT.

Summary:
The value obtained for the total energy is -0.2011 Ry per atom.

Geometry as POSCAR:
```
RbBa8Au4
1.0
-8.4272 8.4272 2.4474
8.4272 -8.4272 2.4474
8.4272 8.4272 -2.4474
Rb Ba Au
1 8 4
direct
0.0000 0.0000 0.0000
0.0427 0.6622 0.7049
0.3065 0.6533 0.9598
0.3378 0.0427 0.3805
0.3467 0.3065 0.6533
0.6533 0.6935 0.3467
0.6622 0.9573 0.6195
0.6935 0.3467 0.0402
0.9573 0.3378 0.2951
0.1523 0.3249 0.4772
0.3249 0.8477 0.1726
0.6751 0.1523 0.8274
0.8477 0.6751 0.5228
```

---

In order of appearance, magnetization = 0.00; 0.00; 5.37; 0.00; 0.00; 0.00; 0.00; 0.00; 1.33; 0.00; 0.00; 0.00; 0.00; 1.96; 0.00; 0.08; 0.00; 0.00; 0.00; 0.00; 0.00; 0.81; 0.00 μB/f.u..